Material: ReAg2Hg
Method: DFT, GGA-PBE
State: optimized geometry

Cell: 2.7944 2.7944 9.0709 Å, 90.00 90.00 90.00°
Fractional coordinates of all 4 atoms:
1 Hg 0.0000 0.0000 0.5043
2 Ag 0.0000 0.0000 0.9950
3 Ag 0.5000 0.5000 0.2416
4 Re 0.5000 0.5000 0.7592

Computed properties:
Formation energy from the elements (eV/atom): 0.5666
Crystal system: tetragonal

---

Material: YZn2Bi2
Method: DFT, GGA-PBE
State: optimized geometry

Cell: 8.3174 8.3174 3.7298 Å, 90.00 90.00 90.00°
Fractional coordinates of all 10 atoms:
1 Bi 0.3524 0.8524 0.0000
2 Bi 0.8524 0.6476 0.0000
3 Bi 0.6476 0.1476 0.0000
4 Bi 0.1476 0.3524 0.0000
5 Zn 0.3457 0.1543 0.5000
6 Zn 0.6543 0.8457 0.5000
7 Zn 0.8457 0.3457 0.5000
8 Zn 0.1543 0.6543 0.5000
9 Y 0.5000 0.5000 0.0000
10 Y 0.0000 0.0000 0.0000

Computed properties:
Formation energy from the elements (eV/atom): -0.0259
Relative energy among the computed polymorphs (meV per atom): 169
Crystal system: tetragonal

---

Material: MnCo2H
Method: DFT, GGA-PBE
State: optimized geometry

Cell: 2.5129 2.5129 6.3565 Å, 78.60 78.60 60.00°
Site moments in Bohr magnetons follow the coordinates.
Fractional coordinates of all 4 atoms:
1 Mn 0.5000 0.5000 0.5000  0.27
2 Co 0.2732 0.2732 0.1804  1.05
3 Co 0.7268 0.7268 0.8196  1.05
4 H 0.0000 0.0000 0.0000  -0.01

Computed properties:
Relative energy among the computed polymorphs (meV per atom): 17
Crystal system: trigonal

---

Number 1: total magnetic moment 0.0 μB per formula unit, density of states at the Fermi level 2.854 states/eV/cell, volume 17.7 Å³ per atom. Number 2: total magnetic moment 0.0 μB per formula unit, density of states at the Fermi level 6.528 states/eV/cell, volume 25.8 Å³ per atom. Number 3: total magnetic moment 2.3 μB per formula unit, density of states at the Fermi level 4.196 states/eV/cell, volume 8.5 Å³ per atom.